## PmP2Rh2 (GGA-PBE)

Data for PmP2Rh2 after structural relaxation.

Summary:
Energy ... -6.99 eV/atom
Energy above the most stable polymorph in this dataset ... 16.4 kJ per mole of atoms
Formation energy ... -0.939 eV per atom

```
10
Lattice="-5.8295 0.1117 -2.2919 1.7776 -5.9900 -0.4564 0.2555 2.0802 5.8564" Properties=species:S:1:pos:R:3 pbc="T T T"
Pm -3.7984 -2.0857 2.1015
Pm 0.0020 -1.7124 1.0065
P -0.2781 -0.3451 3.8363
P -2.3046 0.1378 0.4499
P -1.4918 -3.9358 2.6581
P -3.5183 -3.4529 -0.7282
Rh 0.4974 -4.8971 1.7650
Rh -1.2734 -2.3341 4.2351
Rh -4.2939 1.0990 1.3430
Rh -2.5231 -1.4640 -1.1271
```